# La2GaCu (PBE, relaxed)
# **Electronic total energy**: -4.595 eV/atom
# **Formation energy from the elements**: -135.1 kJ/mol of formula units
data_La2GaCu
_space_group_name_H-M_alt 'P 1'
_space_group_IT_number 1
_cell_length_a 3.722
_cell_length_b 5.112
_cell_length_c 10.627
_cell_angle_alpha 90.00
_cell_angle_beta 90.00
_cell_angle_gamma 90.00
loop_
_space_group_symop_operation_xyz
'x,y,z'
loop_
_atom_site_label
_atom_site_type_symbol
_atom_site_fract_x
_atom_site_fract_y
_atom_site_fract_z
La1 La 0.000 0.750 0.892
La2 La 0.000 0.250 0.108
La3 La 0.000 0.250 0.613
La4 La 0.000 0.750 0.387
Cu1 Cu 0.500 0.750 0.156
Cu2 Cu 0.500 0.250 0.844
Ga1 Ga 0.500 0.250 0.348
Ga2 Ga 0.500 0.750 0.652